## LiNpTcRu (PBE)

Data for a relaxed LiNpTcRu crystal.

Calculated values
The calculation puts the total energy at -8.53 eV per atom. The density of states at the Fermi level comes out at 2.12 states/eV per atom. The calculation puts the formation enthalpy at 0 K at 0.09 eV/atom.

Cell: 4.4570 4.4570 4.4570 Å, 60.00 60.00 60.00°
Closest atoms and distances in Å follow each position.
Fractional positions:
Ru 0.2500 0.2500 0.2500  4 Li 2.73, 4 Np 2.73
Tc 0.7500 0.7500 0.7500  4 Li 2.73, 4 Np 2.73
Li 0.0000 0.0000 0.0000  4 Tc 2.73, 4 Ru 2.73
Np 0.5000 0.5000 0.5000  4 Tc 2.73, 4 Ru 2.73